# 1
Nd2AsP | Alexandria | PBE | relaxed; offset from the most stable computed form = 0.000 eV/atom; total energy = -6.42 eV per atom; spin magnetization = 0.00 Bohr magnetons per cell; crystal system = trigonal; DFT formation energy = -1.523 eV/atom; DOS at the Fermi energy = 0.46 states/eV per cell; symmetry = R-3m, No. 166
1.0
4.2209 -0.0007 -0.0038
-2.1099 3.6558 0.0038
-2.1054 -1.2212 6.8943
As Nd P
1 2 1
Direct
0.0000 0.5000 0.5000
0.4957 0.7478 0.2435
0.5043 0.2522 0.7565
0.0000 0.0000 0.0000

---

# 2
Nd6AsP5 | Alexandria | PBE | relaxed; total energy = -6.56 eV per atom; spin magnetization = 0.00 Bohr magnetons per cell; crystal system = monoclinic; DFT formation energy = -1.533 eV/atom; DOS at the Fermi energy = 0.92 states/eV per cell; symmetry = C2/m, No. 12
1.0
7.1649 0.1746 1.0884
1.7601 6.0770 3.5427
0.1204 0.0656 7.2484
Nd P As
6 5 1
Direct
0.2521 0.5786 0.3374
0.7478 0.7467 0.0000
0.7479 0.0840 0.3374
0.7479 0.4214 0.6626
0.2521 0.9160 0.6626
0.2522 0.2533 0.0000
0.5000 0.1659 0.6683
0.0000 0.3333 0.3334
0.5000 0.8341 0.3317
0.5000 0.5000 0.0000
0.0000 0.6667 0.6666
0.0000 0.0000 0.0000